Crystalline YTeW at its relaxed geometry. Source: Alexandria, functional GGA-PBE.

Geometry as extended XYZ:
```
3
Lattice="3.569 0.000 0.000 -1.784 3.090 0.000 0.000 0.000 6.590" Properties=species:S:1:pos:R:3 pbc="T T T"
Y 0.000 2.060 4.268
Te 0.000 0.000 0.257
W 1.784 1.030 2.065
```

Energy above the lowest structure with this stoichiometry ... 154 meV/atom
D(E_F) ... 0.840 states/eV/atom
ΔE_f (raw) ... 6.49 kcal/mol of atoms
M_tot ... 0.0 μB per cell
Space group ... P3m1 (156)